# 1
VASP calculation (PBE) on a geometry-optimized CaSiTe3 structure.

abc: 5.350 5.350 5.350
angles: 90.00 90.00 90.00
Fractional coordinates of all 5 atoms:
Ca1 0.500 0.500 0.500
Te1 0.000 0.500 0.000
Te2 0.000 0.000 0.500
Te3 0.500 0.000 0.000
Si1 0.000 0.000 0.000

## Properties
The space group is Pm-3m, No. 221. The calculation puts the formation energy (no corrections) at -0.26 eV/atom. The density of states at the Fermi level comes out at 2.83 states/eV/f.u. The calculation puts the magnetization at 0.00 μB/cell.


# 2
VASP calculation (PBE) on a geometry-optimized Dy3Si3Rh2 structure.

abc: 4.184 5.731 13.745
angles: 90.00 90.00 111.41
Fractional coordinates of all 16 atoms:
Dy1 0.921 0.842 0.386
Dy2 0.079 0.158 0.886
Dy3 0.921 0.842 0.114
Dy4 0.079 0.158 0.614
Dy5 0.644 0.288 0.250
Dy6 0.356 0.712 0.750
Si1 0.610 0.219 0.460
Si2 0.390 0.781 0.960
Si3 0.610 0.219 0.040
Si4 0.390 0.781 0.540
Si5 0.336 0.672 0.250
Si6 0.664 0.328 0.750
Rh1 0.785 0.570 0.920
Rh2 0.215 0.430 0.420
Rh3 0.785 0.570 0.580
Rh4 0.215 0.430 0.080

## Properties
The space group is Cmcm, No. 63. The calculation puts the formation energy (no corrections) at -1.00 eV/atom. The density of states at the Fermi level comes out at 4.04 states/eV/f.u. The calculation puts the magnetization at 0.00 μB/cell.